AcSm3Dy | Alexandria | PBE | relaxed; space group = C2/m; total magnetization = 0.000 μB per cell; energy relative to the elements = 0.150 eV/atom
1.0
9.3017 -2.4909 0.0000
9.3017 2.4909 0.0000
-3.3075 0.0000 8.0098
Ac Sm Dy
2 6 2
Direct
0.1154 0.1154 0.1474 Ac
0.8846 0.8846 0.8526 Ac
0.0582 0.0582 0.6999 Sm
0.2277 0.2277 0.6285 Sm
0.4162 0.4162 0.5597 Sm
0.5838 0.5838 0.4403 Sm
0.7723 0.7723 0.3715 Sm
0.9418 0.9418 0.3001 Sm
0.3099 0.3099 0.1098 Dy
0.6901 0.6901 0.8902 Dy



Fe2AsOs | Alexandria | PBE | relaxed; space group = Cm; total magnetization = 8.862 μB per cell; energy relative to the elements = 0.192 eV/atom
1.0
8.6159 0.0000 0.0000
0.0000 2.9280 0.0000
-1.2443 0.0000 4.1812
Fe As Os
4 2 2
Direct
0.0000 0.0000 0.0000 Fe
0.2385 0.5000 0.1259 Fe
0.5000 0.5000 0.0000 Fe
0.7385 0.0000 0.1259 Fe
0.4887 0.0000 0.4590 As
0.9887 0.5000 0.4590 As
0.2353 0.0000 0.6293 Os
0.7353 0.5000 0.6293 Os



BeCrPb3 | Alexandria | PBE | relaxed; space group = Pm-3m; total magnetization = 4.655 μB per cell; energy relative to the elements = 0.711 eV/atom
1.0
5.0975 0.0000 0.0000
0.0000 5.0975 0.0000
0.0000 0.0000 5.0975
Be Cr Pb
1 1 3
Direct
0.0000 0.0000 0.0000 Be
0.5000 0.5000 0.5000 Cr
0.0000 0.0000 0.5000 Pb
0.0000 0.5000 0.0000 Pb
0.5000 0.0000 0.0000 Pb



Number 2 is which compound? Fe2AsOs



What is the formula in the second record? Fe2AsOs